1.
The following is a DFT calculation (PBE) of a geometry-optimized Na4HoTm3Te8 structure.

POSCAR file:
```
Na4HoTm3Te8
1.0
-5.549 6.797 -0.370
-4.841 -3.580 6.835
8.590 1.403 1.172
Na Ho Tm Te
4 1 3 8
direct
0.500 0.000 0.000
0.500 0.000 0.500
0.000 0.000 0.000
0.000 0.000 0.500
0.000 0.500 0.000
0.500 0.500 0.000
0.500 0.500 0.500
0.000 0.500 0.500
0.244 0.730 0.986
0.244 0.730 0.488
0.257 0.271 0.514
0.742 0.730 0.986
0.258 0.270 0.014
0.743 0.729 0.486
0.756 0.270 0.512
0.756 0.270 0.014
```

- calculated density (g/cm³) = 5.865
- SG = R-3m
- raw formation energy (eV per formula unit) = -20.76
- DFT total energy (eV per cell) = -69.166

---

2.
The following is a DFT calculation (PBE) of a geometry-optimized InFeAs4 structure.

POSCAR file:
```
InFeAs4
1.0
0.000 3.960 3.960
3.960 0.000 3.960
3.960 3.960 0.000
In Fe As
1 1 4
direct
0.000 0.000 0.000
0.750 0.750 0.750
0.874 0.375 0.375
0.375 0.375 0.874
0.375 0.874 0.375
0.375 0.375 0.375
```

- D(E_F) (states/eV per atom) = 0.785
- calculated density (g/cm³) = 6.288
- SG = F-43m
- DFT total energy (eV per cell) = -26.282
- energy of formation (meV per atom) = 586.2